Computed, not measured: PmNd8Ho3 after structural relaxation at the PBE level of DFT.

As for the formation energy from the elements: 0.01 eV/atom. For the volume, the calculation gives 410.7 Å³/f.u. For the total energy, the calculation gives -56.50 eV per cell.

The space group is P1 (No. 1) and the conventional cell measures 6.3473, 7.3418 and 9.0655 Å, with angles of 101.77, 96.67 and 90.05 degrees. The inequivalent atoms are Pm at (0.0000, 0.0000, 0.0000), Nd at (0.1085, 0.6661, 0.6656), Nd at (0.1112, 0.1670, 0.6658), Nd at (0.3884, 0.5810, 0.3314), Nd at (0.3886, 0.0825, 0.3317), Nd at (0.5014, 0.7487, 0.9979), Nd at (0.6125, 0.9180, 0.6661), Nd at (0.8854, 0.3313, 0.3313), Nd at (0.9980, 0.4993, 0.9999), Ho at (0.4998, 0.2499, 0.9970), Ho at (0.6112, 0.4159, 0.6677) and Ho at (0.8888, 0.8322, 0.3302).